The following is a DFT calculation (PBE-GGA) of crystalline Ba3Pa2S2O5 at its relaxed geometry.

Results
Symmetry   I4/mmm (139)
E_form (uncorrected)   -2.848 eV per atom
DFT total energy   -7.665 eV per atom

Cell lengths 13.649, 13.649, 13.649 Å; angles 161.22, 161.22, 26.67 degrees
Fractional coordinates of all 12 atoms:
Ba 0.000 0.000 0.000
Ba 0.190 0.190 0.000
Ba 0.810 0.810 0.000
Pa 0.416 0.416 0.000
Pa 0.584 0.584 0.000
S 0.309 0.309 0.000
S 0.691 0.691 0.000
O 0.076 0.576 0.500
O 0.424 0.924 0.500
O 0.500 0.500 0.000
O 0.576 0.076 0.500
O 0.924 0.424 0.500